The following is a PBE-GGA calculation of a geometry-optimized K2Y2RhO6 structure, from Alexandria via LeMat-Bulk.

Cell: 5.8024 9.9499 6.5815 Å, 90.00 105.24 90.00°
Space group C2/m (No. 12)
Inequivalent atoms, fractional coordinates:
K1 0.0000 0.1598 0.0000 x4
Y1 0.0000 0.3354 0.5000 x4
Rh1 0.0000 0.0000 0.5000 x2
O1 0.2044 0.1560 0.6736 x8
O2 0.2503 0.0000 0.3238 x4

Summary:
Energy relative to the elements, uncorrected, eV per atom: -2.155